Material: MnPdWF2
Method: DFT, PBE+U
State: optimized geometry

The space group is P4/mmm (No. 123) and the conventional cell measures 4.202, 4.202 and 5.335 Å, with angles of 90.00, 90.00 and 90.00 degrees. The inequivalent atoms are Mn at (0.000, 0.000, 0.000), Pd at (0.000, 0.000, 0.500), W at (0.500, 0.500, 0.000) and F at (0.000, 0.500, 0.500).

For the total energy, the calculation gives -4.41 eV/atom. The density of states at the Fermi level comes out at 1.89 states/eV/cell. The density comes out at 6.76 g cm⁻³.